(1)
DFT (PBE) results for AcPt2RhO8 after structural relaxation.

abc: 5.8318 5.8318 7.0651
angles: 90.00 90.00 120.00
Sites, in units of the cell vectors:
O  0.8554  0.1446  0.1956
O  0.6667  0.3333  0.4808
O  0.2891  0.1446  0.1956
O  0.1446  0.2891  0.8044
O  0.1446  0.8554  0.8044
O  0.7109  0.8554  0.8044
O  0.3333  0.6667  0.5192
O  0.8554  0.7109  0.1956
Pt  0.6667  0.3333  0.2059
Pt  0.3333  0.6667  0.7941
Ac  0.0000  0.0000  0.5000
Rh  0.0000  0.0000  0.0000

Output
space group = P-3m1
ΔE_f (raw) = -652 meV per atom



(2)
DFT (PBE) results for HoTiCuRu after structural relaxation.

abc: 4.6049 4.6049 4.6049
angles: 60.00 60.00 60.00
Sites, in units of the cell vectors:
Ho  0.7500  0.7500  0.7500
Ru  0.5000  0.5000  0.5000
Cu  0.0000  0.0000  0.0000
Ti  0.2500  0.2500  0.2500

Output
space group = F-43m
calculated formation energy = -23 kJ/mol of atoms



(3)
DFT (PBE) results for CeYAgPb after structural relaxation.

abc: 5.3746 5.3746 5.3746
angles: 60.00 60.00 60.00
Sites, in units of the cell vectors:
Pb  0.7500  0.7500  0.7500
Ag  0.2500  0.2500  0.2500
Y  0.5000  0.5000  0.5000
Ce  0.0000  0.0000  0.0000

Output
space group = F-43m
calculated formation energy = -31 kJ/mol of atoms



(4)
DFT (PBE) results for TbPmZnCo after structural relaxation.

abc: 3.9183 4.3094 5.6806
angles: 90.00 110.17 90.00
Sites, in units of the cell vectors:
Tb  0.8598  0.5000  0.7196
Pm  0.1408  0.0000  0.2816
Zn  0.5633  0.5000  0.1266
Co  0.4361  0.0000  0.8722

Output
space group = Amm2
excess energy over the best structure of this formula in the dataset = 0.0000 eV per atom
calculated formation energy = -18 kJ/mol of atoms



(5)
DFT (PBE) results for Cr2ReHg after structural relaxation.

abc: 4.4464 4.4464 4.4464
angles: 60.00 60.00 60.00
Sites, in units of the cell vectors:
Cr  0.0000  0.0000  0.0000
Cr  0.2500  0.2500  0.2500
Hg  0.5000  0.5000  0.5000
Re  0.7500  0.7500  0.7500

Output
space group = F-43m
calculated formation energy = 71 kJ/mol of atoms



(6)
DFT (PBE) results for TmTiRu after structural relaxation.

abc: 4.2925 6.7720 12.1275
angles: 90.64 90.00 90.00
Sites, in units of the cell vectors:
Ti  0.2500  0.9729  0.0876
Ti  0.2500  0.8551  0.4590
Ti  0.2500  0.3383  0.2067
Ti  0.7500  0.6617  0.7933
Ti  0.7500  0.1449  0.5410
Ti  0.7500  0.0271  0.9124
Ru  0.7500  0.2996  0.7544
Ru  0.7500  0.7818  0.5716
Ru  0.2500  0.7004  0.2456
Ru  0.2500  0.8002  0.9029
Ru  0.7500  0.1998  0.0971
Ru  0.2500  0.2182  0.4284
Tm  0.7500  0.9971  0.2929
Tm  0.2500  0.0029  0.7071
Tm  0.2500  0.4869  0.6239
Tm  0.2500  0.3625  0.9162
Tm  0.7500  0.6375  0.0838
Tm  0.7500  0.5131  0.3761

Output
space group = P2_1/m
excess energy over the best structure of this formula in the dataset = 0.0000 eV per atom
calculated formation energy = -39 kJ/mol of atoms



(7)
DFT (PBE) results for Zr2Mn12P7 after structural relaxation.

abc: 3.5682 9.1579 9.1579
angles: 120.00 90.00 90.00
Sites, in units of the cell vectors:
Mn  0.5000  0.2285  0.7924
Mn  0.5000  0.2076  0.4361
Mn  0.0000  0.9565  0.2396
Mn  0.5000  0.8947  0.6228
Mn  0.0000  0.2830  0.0435
Mn  0.0000  0.7604  0.7170
Mn  0.5000  0.3772  0.2719
Mn  0.0000  0.4929  0.9461
Mn  0.5000  0.5639  0.7715
Mn  0.0000  0.4531  0.5071
Mn  0.5000  0.7281  0.1053
Mn  0.0000  0.0539  0.5469
P  0.0000  0.7483  0.9577
P  0.0000  0.3333  0.6667
P  0.5000  0.4642  0.0783
P  0.0000  0.2094  0.2517
P  0.0000  0.0423  0.7906
P  0.5000  0.6141  0.5358
P  0.5000  0.9217  0.3859
Zr  0.0000  0.6667  0.3333
Zr  0.5000  0.0000  0.0000

Output
space group = P-6
calculated formation energy = -68 kJ/mol of atoms



(8)
DFT (PBE) results for Tb11Tl4Cd9 after structural relaxation.

abc: 3.7208 13.5392 13.5392
angles: 108.76 90.00 90.00
Sites, in units of the cell vectors:
Tb  0.0000  0.0000  0.0000
Tb  0.0000  0.2365  0.2365
Tb  0.0000  0.9374  0.5933
Tb  0.0000  0.3554  0.6446
Tb  0.0000  0.7635  0.7635
Tb  0.0000  0.4067  0.0626
Tb  0.0000  0.0626  0.4067
Tb  0.0000  0.8234  0.1766
Tb  0.0000  0.5933  0.9374
Tb  0.0000  0.1766  0.8234
Tb  0.0000  0.6446  0.3554
Cd  0.5000  0.1988  0.0259
Cd  0.5000  0.1456  0.6198
Cd  0.5000  0.5000  0.5000
Cd  0.5000  0.9741  0.8012
Cd  0.5000  0.8012  0.9741
Cd  0.5000  0.0259  0.1988
Cd  0.5000  0.3802  0.8544
Cd  0.5000  0.8544  0.3802
Cd  0.5000  0.6198  0.1456
Tl  0.5000  0.4396  0.2645
Tl  0.5000  0.2645  0.4396
Tl  0.5000  0.5604  0.7355
Tl  0.5000  0.7355  0.5604

Output
space group = Cmmm
calculated formation energy = -28 kJ/mol of atoms



The calculation returns the following magnetization values, one per record and in order: 0.0, 0.0, 2.0, 0.0, 2.4, 0.0, 14.9, 1.2 μB per formula unit.
The calculation returns the following density of states at the Fermi level values, one per record and in order: 0.854, 0.975, 2.438, 0.913, 0.831, 1.210, 0.760, 1.037 states/eV/atom.
The calculation returns the following ρ values, one per record and in order: 6768, 9076, 8230, 7899, 13111, 8984, 6782, 9198 kg/m³.